[1]
La2CrTe: relaxed, PBE-GGA.

Electronic total energy ... -5.773 eV/atom
Space-group type ... I-42d

a b c (Å): 8.3823 8.3823 6.8660
angles (deg): 52.38 52.38 90.00
Element x y z (fractional)
Cr1 0.5000 0.5000 0.0000
Cr2 0.2500 0.7500 0.5000
Te1 0.0000 0.0000 0.0000
Te2 0.7500 0.2500 0.5000
La1 0.6071 0.1250 0.2500
La2 0.1429 0.6250 0.2500
La3 0.3750 0.3929 0.7500
La4 0.8750 0.8571 0.7500

[2]
La2CrTe: relaxed, PBE-GGA.

Electronic total energy ... -6.018 eV/atom
Space-group type ... R-3m

a b c (Å): 8.5727 8.5727 8.5727
angles (deg): 28.63 28.63 28.63
Element x y z (fractional)
Cr1 0.7500 0.7500 0.7500
La1 0.0043 0.0043 0.0043
La2 0.4957 0.4957 0.4957
Te1 0.2500 0.2500 0.2500

[3]
La2CrTe: relaxed, PBE-GGA.

Electronic total energy ... -6.029 eV/atom
Space-group type ... Cmmm

a b c (Å): 5.5098 5.5098 3.8468
angles (deg): 90.00 90.00 97.44
Element x y z (fractional)
Cr1 0.0000 0.5000 0.5000
La1 0.0000 0.0000 0.0000
La2 0.5000 0.5000 0.0000
Te1 0.5000 0.0000 0.5000

[4]
LaCr3Te: relaxed, PBE-GGA.

Space-group type ... Pm-3m
Energy relative to the lowest polymorph listed for this composition ... 0 meV per atom

a b c (Å): 5.1062 5.1062 5.1062
angles (deg): 90.00 90.00 90.00
Element x y z (fractional)
Cr1 0.0000 0.5000 0.0000
Cr2 0.0000 0.0000 0.5000
Cr3 0.5000 0.0000 0.0000
Te1 0.0000 0.0000 0.0000
La1 0.5000 0.5000 0.5000

[5]
La2CrTe: relaxed, PBE-GGA.

Electronic total energy ... -6.001 eV/atom
Space-group type ... Imm2

a b c (Å): 6.4353 6.4353 5.0101
angles (deg): 67.06 67.06 36.39
Element x y z (fractional)
Cr1 0.2281 0.2281 0.2719
La1 0.9830 0.9830 0.0172
La2 0.7502 0.7502 0.7494
Te1 0.5387 0.5387 0.4615

[6]
La2CrTe: relaxed, PBE-GGA.

Electronic total energy ... -6.127 eV/atom
Space-group type ... Amm2

a b c (Å): 4.6450 4.2545 6.3525
angles (deg): 70.46 90.00 90.00
Element x y z (fractional)
Cr1 0.5000 0.5454 0.7846
La1 0.0000 0.9825 0.9104
La2 0.5000 0.2744 0.3257
Te1 0.0000 0.6976 0.4793

[7]
La2TiCr: relaxed, PBE-GGA.

Calculated formation energy ... 0.71 eV/atom
Space-group type ... I-42d
Energy relative to the lowest polymorph listed for this composition ... 315 meV per atom

a b c (Å): 10.4808 10.4808 7.7512
angles (deg): 47.46 47.46 90.00
Element x y z (fractional)
Cr1 0.0000 0.0000 0.0000
Cr2 0.7500 0.2500 0.5000
Ti1 0.5000 0.5000 0.0000
Ti2 0.2500 0.7500 0.5000
La1 0.7893 0.1250 0.2500
La2 0.9607 0.6250 0.2500
La3 0.3750 0.2107 0.7500
La4 0.8750 0.0393 0.7500

[8]
La2TiCr: relaxed, PBE-GGA.

Calculated formation energy ... 0.40 eV/atom
Space-group type ... Fm-3m
Energy relative to the lowest polymorph listed for this composition ... 0 meV per atom

a b c (Å): 5.3172 5.3172 5.3172
angles (deg): 60.00 60.00 60.00
Element x y z (fractional)
Cr1 0.5000 0.5000 0.5000
Ti1 0.0000 0.0000 0.0000
La1 0.2500 0.2500 0.2500
La2 0.7500 0.7500 0.7500

[9]
La3TiCr: relaxed, PBE-GGA.

Calculated formation energy ... 0.64 eV/atom
Space-group type ... Pm-3m
Energy relative to the lowest polymorph listed for this composition ... 0 meV per atom

a b c (Å): 5.3469 5.3469 5.3469
angles (deg): 90.00 90.00 90.00
Element x y z (fractional)
Cr1 0.0000 0.0000 0.0000
Ti1 0.5000 0.5000 0.5000
La1 0.0000 0.5000 0.0000
La2 0.0000 0.0000 0.5000
La3 0.5000 0.0000 0.0000

[10]
LaTiCr2: relaxed, PBE-GGA.

Calculated formation energy ... 0.61 eV/atom
Space-group type ... Fm-3m
Energy relative to the lowest polymorph listed for this composition ... 0 meV per atom

a b c (Å): 4.5711 4.5711 4.5711
angles (deg): 60.00 60.00 60.00
Element x y z (fractional)
Cr1 0.2500 0.2500 0.2500
Cr2 0.7500 0.7500 0.7500
Ti1 0.0000 0.0000 0.0000
La1 0.5000 0.5000 0.5000

[11]
LaTiCr2: relaxed, PBE-GGA.

Calculated formation energy ... 0.99 eV/atom
Space-group type ... I-42d
Energy relative to the lowest polymorph listed for this composition ... 381 meV per atom

a b c (Å): 7.2162 7.2162 5.8029
angles (deg): 51.55 51.55 90.00
Element x y z (fractional)
Cr1 0.5988 0.1250 0.2500
Cr2 0.1512 0.6250 0.2500
Cr3 0.3750 0.4012 0.7500
Cr4 0.8750 0.8488 0.7500
Ti1 0.5000 0.5000 0.0000
Ti2 0.2500 0.7500 0.5000
La1 0.0000 0.0000 0.0000
La2 0.7500 0.2500 0.5000

[12]
La2Ti2Cr: relaxed, PBE-GGA.

Calculated formation energy ... 0.42 eV/atom
Space-group type ... P4/mbm

a b c (Å): 6.4653 6.4653 5.5203
angles (deg): 90.00 90.00 90.00
Element x y z (fractional)
Cr1 0.0000 0.0000 0.0000
Cr2 0.5000 0.5000 0.0000
Ti1 0.3386 0.8386 0.0000
Ti2 0.8386 0.6614 0.0000
Ti3 0.6614 0.1614 0.0000
Ti4 0.1614 0.3386 0.0000
La1 0.1710 0.6710 0.5000
La2 0.6710 0.8290 0.5000
La3 0.8290 0.3290 0.5000
La4 0.3290 0.1710 0.5000